# Al3GaCu12 PBE-GGA optimized geometry
data_Al3GaCu12
_space_group_name_H-M_alt 'P 4/m m m'
_space_group_IT_number 123
_space_group_name_Hall '-P 4 2'
_cell_length_a 3.6753
_cell_length_b 3.6753
_cell_length_c 14.8370
_cell_angle_alpha 90.00
_cell_angle_beta 90.00
_cell_angle_gamma 90.00
loop_
_atom_site_label
_atom_site_fract_x
_atom_site_fract_y
_atom_site_fract_z
Al1 0.0000 0.0000 0.0000
Al2 0.0000 0.0000 0.2494
Ga1 0.0000 0.0000 0.5000
Cu1 0.0000 0.5000 0.1248
Cu2 0.0000 0.5000 0.3740
Cu3 0.5000 0.5000 0.0000
Cu4 0.5000 0.5000 0.2499
Cu5 0.5000 0.5000 0.5000
# - energy of formation (kcal/mol of atoms) = -3.862
# - calculated total energy (eV per formula unit) = -66.088

---

# Pa2Pd6Au PBE-GGA optimized geometry
data_Pa2Pd6Au
_space_group_name_H-M_alt 'C 1 2/m 1'
_space_group_IT_number 12
_cell_length_a 9.3280
_cell_length_b 4.1936
_cell_length_c 8.8042
_cell_angle_alpha 90.00
_cell_angle_beta 108.53
_cell_angle_gamma 90.00
loop_
_space_group_symop_operation_xyz
'x,y,z'
'-x,-y,-z'
'-x,y,-z'
'x,-y,z'
'x+1/2,y+1/2,z'
'-x+1/2,-y+1/2,-z'
'-x+1/2,y+1/2,-z'
'x+1/2,-y+1/2,z'
loop_
_atom_site_label
_atom_site_fract_x
_atom_site_fract_y
_atom_site_fract_z
Pa1 0.1792 0.0000 0.2379
Pd1 0.0057 0.5000 0.3311
Pd2 0.1616 0.0000 0.5558
Pd3 0.1645 0.0000 0.8908
Au1 0.0000 0.5000 0.0000
# - energy of formation (kcal/mol of atoms) = -13.921
# - calculated total energy (eV per formula unit) = -58.859
# - energy relative to the lowest polymorph listed for this composition (eV/atom) = 0.0000

---

# Ce3SbSe PBE-GGA optimized geometry
data_Ce3SbSe
_space_group_name_H-M_alt 'C 1 2/c 1'
_space_group_IT_number 15
_cell_length_a 13.0991
_cell_length_b 11.2142
_cell_length_c 7.9672
_cell_angle_alpha 90.00
_cell_angle_beta 90.02
_cell_angle_gamma 90.00
loop_
_space_group_symop_operation_xyz
'x,y,z'
'-x,-y,-z'
'-x,y,-z+1/2'
'x,-y,z+1/2'
'x+1/2,y+1/2,z'
'-x+1/2,-y+1/2,-z'
'-x+1/2,y+1/2,-z+1/2'
'x+1/2,-y+1/2,z+1/2'
loop_
_atom_site_label
_atom_site_fract_x
_atom_site_fract_y
_atom_site_fract_z
Ce1 0.1011 0.0826 0.0988
Ce2 0.1006 0.4172 0.9011
Ce3 0.2500 0.1873 0.7283
Sb1 0.0000 0.1676 0.7500
Sb2 0.0000 0.3320 0.2500
Se1 0.2503 0.0580 0.3887
# - calculated total energy (eV per formula unit) = -30.311
# - formation energy (no corrections) (kJ/mol of atoms) = -94.6

---

# Li7Cd4Pt PBE-GGA optimized geometry
data_Li7Cd4Pt
_space_group_name_H-M_alt 'C 1 2/m 1'
_space_group_IT_number 12
_cell_length_a 13.5382
_cell_length_b 4.8484
_cell_length_c 7.3733
_cell_angle_alpha 90.00
_cell_angle_beta 115.99
_cell_angle_gamma 90.00
loop_
_space_group_symop_operation_xyz
'x,y,z'
'-x,-y,-z'
'-x,y,-z'
'x,-y,z'
'x+1/2,y+1/2,z'
'-x+1/2,-y+1/2,-z'
'-x+1/2,y+1/2,-z'
'x+1/2,-y+1/2,z'
loop_
_atom_site_label
_atom_site_fract_x
_atom_site_fract_y
_atom_site_fract_z
Li1 0.0000 0.0000 0.0000
Li2 0.0610 0.5000 0.3851
Li3 0.1965 0.5000 0.1926
Li4 0.2016 0.5000 0.8419
Cd1 0.0809 0.0000 0.7280
Cd2 0.1733 0.0000 0.4009
Pt1 0.0000 0.5000 0.0000
# - energy of formation (kcal/mol of atoms) = -4.110
# - calculated total energy (eV per formula unit) = -25.236

---

# Ac4GaAu3 PBE-GGA optimized geometry
data_Ac4GaAu3
_space_group_name_H-M_alt 'P m m 2'
_space_group_IT_number 25
_cell_length_a 4.2391
_cell_length_b 4.9275
_cell_length_c 11.8830
_cell_angle_alpha 90.00
_cell_angle_beta 90.00
_cell_angle_gamma 90.00
loop_
_space_group_symop_operation_xyz
'x,y,z'
'-x,-y,z'
'-x,y,z'
'x,-y,z'
loop_
_atom_site_label
_atom_site_fract_x
_atom_site_fract_y
_atom_site_fract_z
Ac1 0.0000 0.0000 0.0000
Ac2 0.0000 0.5000 0.2727
Ac3 0.5000 0.0000 0.5013
Ac4 0.5000 0.5000 0.7763
Ga1 0.0000 0.0000 0.7189
Au1 0.0000 0.5000 0.5539
Au2 0.5000 0.0000 0.2241
Au3 0.5000 0.5000 0.0539
# - energy of formation (kcal/mol of atoms) = -16.538
# - calculated total energy (eV per formula unit) = -35.030

---

# CaMgBe3 PBE-GGA optimized geometry
data_CaMgBe3
_space_group_name_H-M_alt 'P m -3 m'
_space_group_IT_number 221
_space_group_name_Hall '-P 4 2 3'
_cell_length_a 4.5754
_cell_length_b 4.5754
_cell_length_c 4.5754
_cell_angle_alpha 90.00
_cell_angle_beta 90.00
_cell_angle_gamma 90.00
loop_
_atom_site_label
_atom_site_fract_x
_atom_site_fract_y
_atom_site_fract_z
Ca1 0.0000 0.0000 0.0000
Mg1 0.5000 0.5000 0.5000
Be1 0.0000 0.5000 0.5000
# - energy of formation (kcal/mol of atoms) = 21.368
# - calculated total energy (eV per formula unit) = -10.142
# - energy relative to the lowest polymorph listed for this composition (eV/atom) = 0.0000

---

# Mn3Nb2Al PBE-GGA optimized geometry
data_Mn3Nb2Al
_space_group_name_H-M_alt 'P 63/m m c'
_space_group_IT_number 194
_space_group_name_Hall '-P 6c 2c'
_cell_length_a 4.8874
_cell_length_b 4.8874
_cell_length_c 8.0491
_cell_angle_alpha 90.00
_cell_angle_beta 90.00
_cell_angle_gamma 120.00
loop_
_atom_site_label
_atom_site_fract_x
_atom_site_fract_y
_atom_site_fract_z
Mn1 0.1739 0.3477 0.2500
Nb1 0.3333 0.6667 0.5649
Al1 0.0000 0.0000 0.0000
# - energy of formation (kcal/mol of atoms) = -5.272
# - calculated total energy (eV per formula unit) = -52.763

---

# TbHo2Er PBE-GGA optimized geometry
data_TbHo2Er
_space_group_name_H-M_alt 'R -3 m'
_space_group_IT_number 166
_space_group_name_Hall '-R 3 2"'
_cell_length_a 3.5217
_cell_length_b 3.5217
_cell_length_c 34.4164
_cell_angle_alpha 90.00
_cell_angle_beta 90.00
_cell_angle_gamma 120.00
loop_
_atom_site_label
_atom_site_fract_x
_atom_site_fract_y
_atom_site_fract_z
Tb1 0.0000 0.0000 0.0000
Ho1 0.0000 0.0000 0.2495
Er1 0.0000 0.0000 0.5000
# - energy of formation (kcal/mol of atoms) = 0.469
# - calculated total energy (eV per formula unit) = -18.267
# - energy relative to the lowest polymorph listed for this composition (eV/atom) = 0.0170

---

# TiTl2PtC PBE-GGA optimized geometry
data_TiTl2PtC
_space_group_name_H-M_alt 'P 4/m m m'
_space_group_IT_number 123
_space_group_name_Hall '-P 4 2'
_cell_length_a 4.7616
_cell_length_b 4.7616
_cell_length_c 4.0985
_cell_angle_alpha 90.00
_cell_angle_beta 90.00
_cell_angle_gamma 90.00
loop_
_atom_site_label
_atom_site_fract_x
_atom_site_fract_y
_atom_site_fract_z
Ti1 0.0000 0.0000 0.0000
Tl1 0.0000 0.5000 0.5000
Pt1 0.5000 0.5000 0.0000
C1 0.0000 0.0000 0.5000
# - energy of formation (kcal/mol of atoms) = 13.310
# - calculated total energy (eV per formula unit) = -25.006

---

# U4I PBE-GGA optimized geometry
data_U4I
_space_group_name_H-M_alt 'P m -3 m'
_space_group_IT_number 221
_space_group_name_Hall '-P 4 2 3'
_cell_length_a 5.5717
_cell_length_b 5.5717
_cell_length_c 5.5717
_cell_angle_alpha 90.00
_cell_angle_beta 90.00
_cell_angle_gamma 90.00
loop_
_atom_site_label
_atom_site_fract_x
_atom_site_fract_y
_atom_site_fract_z
U1 0.0000 0.0000 0.0000
U2 0.0000 0.5000 0.5000
I1 0.5000 0.5000 0.5000
# - calculated total energy (eV per formula unit) = -38.423
# - formation energy (no corrections) (kJ/mol of atoms) = 159.8